Compound: CdSn3Bi3
Source: the Alexandria database
Functional: GGA-PBE
Structure: relaxed

Geometry as POSCAR:
```
CdSn3Bi3
1.0
8.5904 0.0000 0.0000
0.0000 8.5904 0.0000
0.0000 0.0000 8.5904
Cd Sn Bi
2 6 6
Direct
0.0000 0.0000 0.0000
0.5000 0.5000 0.5000
0.0000 0.2500 0.5000
0.0000 0.7500 0.5000
0.2500 0.5000 0.0000
0.5000 0.0000 0.2500
0.5000 0.0000 0.7500
0.7500 0.5000 0.0000
0.0000 0.5000 0.2500
0.0000 0.5000 0.7500
0.2500 0.0000 0.5000
0.5000 0.2500 0.0000
0.5000 0.7500 0.0000
0.7500 0.0000 0.5000
```

## Properties
**Energy of formation**: 0.289 eV per atom
**DFT total energy**: -45.09 eV for the cell shown